# 1
This record from Alexandria via LeMat-Bulk describes an optimized crystal structure of Y2HfFe2. The functional is PBE.

a b c (Å): 8.1345 8.1345 3.0706
angles (deg): 90.00 90.00 90.00
Element x y z (fractional)
Y (0.1344, 0.3656, 0.0000)
Y (0.3656, 0.8656, 0.0000)
Y (0.6344, 0.1344, 0.0000)
Y (0.8656, 0.6344, 0.0000)
Hf (0.0000, 0.0000, 0.0000)
Hf (0.5000, 0.5000, 0.0000)
Fe (0.1755, 0.6755, 0.5000)
Fe (0.3245, 0.1755, 0.5000)
Fe (0.6755, 0.8245, 0.5000)
Fe (0.8245, 0.3245, 0.5000)

Results
Magnetization (μB per cell): 5.055
Space group: P4/mbm
DFT formation energy (eV/f.u.): 2.456
Total energy (eV per atom): -7.4702


# 2
This record from Alexandria via LeMat-Bulk describes an optimized crystal structure of Cu2TeCl. The functional is PBE.

a b c (Å): 3.3087 3.8673 6.3511
angles (deg): 90.00 90.00 90.00
Element x y z (fractional)
Cu (0.0000, 0.0000, 0.1995)
Cu (0.0000, 0.0000, 0.8005)
Te (0.5000, 0.5000, 0.0000)
Cl (0.5000, 0.0000, 0.5000)

Results
Magnetization (μB per cell): 0.000
Space group: Pmmm
Total energy (eV per atom): -3.3549


# 3
This record from Alexandria via LeMat-Bulk describes an optimized crystal structure of Ti5Sn3Au. The functional is PBE.

a b c (Å): 8.3104 8.3104 5.6494
angles (deg): 90.00 90.00 120.00
Element x y z (fractional)
Ti (0.0000, 0.2833, 0.2500)
Ti (0.0000, 0.7167, 0.7500)
Ti (0.2833, 0.0000, 0.2500)
Ti (0.2833, 0.2833, 0.7500)
Ti (0.3333, 0.6667, 0.0000)
Ti (0.3333, 0.6667, 0.5000)
Ti (0.6667, 0.3333, 0.0000)
Ti (0.6667, 0.3333, 0.5000)
Ti (0.7167, 0.0000, 0.7500)
Ti (0.7167, 0.7167, 0.2500)
Sn (0.0000, 0.3805, 0.7500)
Sn (0.0000, 0.6195, 0.2500)
Sn (0.3805, 0.0000, 0.7500)
Sn (0.3805, 0.3805, 0.2500)
Sn (0.6195, 0.0000, 0.2500)
Sn (0.6195, 0.6195, 0.7500)
Au (0.0000, 0.0000, 0.0000)
Au (0.0000, 0.0000, 0.5000)

Results
Magnetization (μB per cell): 0.039
Space group: P6_3/mcm
DFT formation energy (eV/f.u.): -3.332
Total energy (eV per atom): -6.4547


# 4
This record from Alexandria via LeMat-Bulk describes an optimized crystal structure of Ba2MgBi2. The functional is PBE.

a b c (Å): 10.2840 10.2840 3.9043
angles (deg): 90.00 90.00 90.00
Element x y z (fractional)
Ba (0.1357, 0.3643, 0.0000)
Ba (0.3643, 0.8643, 0.0000)
Ba (0.6357, 0.1357, 0.0000)
Ba (0.8643, 0.6357, 0.0000)
Mg (0.0000, 0.0000, 0.0000)
Mg (0.5000, 0.5000, 0.0000)
Bi (0.1652, 0.6652, 0.5000)
Bi (0.3348, 0.1652, 0.5000)
Bi (0.6652, 0.8348, 0.5000)
Bi (0.8348, 0.3348, 0.5000)

Results
Magnetization (μB per cell): 0.000
Space group: P4/mbm
DFT formation energy (eV/f.u.): -1.965
Total energy (eV per atom): -3.0335


# 5
This record from Alexandria via LeMat-Bulk describes an optimized crystal structure of NbH2Pt. The functional is PBE.

a b c (Å): 5.4079 5.4079 5.4079
angles (deg): 32.97 32.97 32.97
Element x y z (fractional)
Nb (0.0000, 0.0000, 0.0000)
H (0.1269, 0.1269, 0.1269)
H (0.8731, 0.8731, 0.8731)
Pt (0.5000, 0.5000, 0.5000)

Results
Magnetization (μB per cell): 0.000
Space group: R-3m
Total energy (eV per atom): -5.5281


# 6
This record from Alexandria via LeMat-Bulk describes an optimized crystal structure of TbPmPr6Dy2. The functional is PBE.

a b c (Å): 9.0147 9.0147 9.8118
angles (deg): 94.23 94.23 117.64
Element x y z (fractional)
Tb (0.0282, 0.9718, 0.7500)
Tb (0.9718, 0.0282, 0.2500)
Pm (0.4082, 0.5918, 0.2500)
Pm (0.5918, 0.4082, 0.7500)
Pr (0.0125, 0.5659, 0.6861)
Pr (0.1117, 0.7598, 0.0546)
Pr (0.2402, 0.8883, 0.4454)
Pr (0.2952, 0.5091, 0.8807)
Pr (0.4341, 0.9875, 0.8139)
Pr (0.4909, 0.7048, 0.6193)
Pr (0.5091, 0.2952, 0.3807)
Pr (0.5659, 0.0125, 0.1861)
Pr (0.7048, 0.4909, 0.1193)
Pr (0.7598, 0.1117, 0.5546)
Pr (0.8883, 0.2402, 0.9454)
Pr (0.9875, 0.4341, 0.3139)
Dy (0.1963, 0.2918, 0.5462)
Dy (0.2918, 0.1963, 0.0462)
Dy (0.7082, 0.8037, 0.9538)
Dy (0.8037, 0.7082, 0.4538)

Results
Magnetization (μB per cell): 0.000
Space group: C2/c
DFT formation energy (eV/f.u.): 1.133
Total energy (eV per atom): -4.6129


# 7
This record from Alexandria via LeMat-Bulk describes an optimized crystal structure of GeOsPt3. The functional is PBE.

a b c (Å): 4.8387 4.8387 4.8387
angles (deg): 90.00 90.00 90.00
Element x y z (fractional)
Ge (0.0000, 0.0000, 0.0000)
Os (0.5000, 0.5000, 0.5000)
Pt (0.0000, 0.5000, 0.5000)
Pt (0.5000, 0.0000, 0.5000)
Pt (0.5000, 0.5000, 0.0000)

Results
Magnetization (μB per cell): 0.000
Space group: Pm-3m
DFT formation energy (eV/f.u.): 6.180
Total energy (eV per atom): -5.5579